{"formula": "Ba4SrAu", "functional": "PBE", "state": "optimized geometry", "lattice": [[5.650, -7.711, 0.000], [5.650, 7.711, 0.000], [-2.218, 0.000, 7.308]], "species": ["Ba", "Ba", "Ba", "Ba", "Ba", "Ba", "Ba", "Ba", "Sr", "Sr", "Au", "Au"], "frac_coords": [[0.056, 0.734, 0.949], [0.167, 0.358, 0.621], [0.266, 0.944, 0.551], [0.358, 0.167, 0.121], [0.642, 0.833, 0.879], [0.734, 0.056, 0.449], [0.833, 0.642, 0.379], [0.944, 0.266, 0.051], [0.390, 0.610, 0.250], [0.610, 0.390, 0.750], [0.002, 0.998, 0.250], [0.998, 0.002, 0.750]], "formation_enthalpy_0k_ev_per_atom": -0.20, "relative_energy_kj_per_mol_fu": 7.7, "sg": "No. 15", "crystal_system": "monoclinic", "magnetic_moment_mub_per_fu": 0.0, "total_energy_ev_per_atom": -2.3091}

=====

{"formula": "KCuRe2O8", "functional": "PBE", "state": "optimized geometry", "lattice": [[5.814, 0.000, 0.000], [-2.907, 5.035, 0.000], [0.000, 0.000, 7.304]], "species": ["K", "Cu", "Re", "Re", "O", "O", "O", "O", "O", "O", "O", "O"], "frac_coords": [[0.000, 0.000, 0.000], [0.000, 0.000, 0.500], [0.333, 0.667, 0.754], [0.667, 0.333, 0.246], [0.141, 0.336, 0.677], [0.194, 0.859, 0.677], [0.333, 0.667, 0.994], [0.336, 0.194, 0.323], [0.664, 0.806, 0.677], [0.667, 0.333, 0.006], [0.806, 0.141, 0.323], [0.859, 0.664, 0.323]], "sg": "No. 147", "crystal_system": "trigonal", "e_form_raw_mev_per_atom": -1565.4, "magnetic_moment_mub_per_fu": 0.1, "total_energy_ev_per_atom": -7.3783}